No. 1
BeCo2Se: relaxed, GGA-PBE.

Results
calculated volume = 141.56 Å³/cell
E_form (uncorrected) = 0.245 eV per atom
E_tot = -61.3 eV per cell
size of the total moment = 3.8 Bohr magnetons per cell
DOS(E_F) = 8.368 states/eV/cell
polymorph energy (0 for the lowest one) = 171 meV per atom

Unit cell a=2.9059 b=2.9059 c=19.3568 alpha=90.00 beta=90.00 gamma=120.00
Space group R-3m (No. 166, hexagonal axes)
One atom of each set of equivalent atoms:
Be 0.0000 0.0000 0.0000 x3
Co 0.0000 0.0000 0.2596 x6
Se 0.0000 0.0000 0.5000 x3



No. 2
Hg2MoW: relaxed, GGA-PBE.

Results
calculated volume = 226.10 Å³/cell
ΔE_f = 0.5840 eV per atom
E_tot = -66.2 eV per cell
size of the total moment = 0.0 Bohr magnetons per cell
DOS(E_F) = 9.518 states/eV/cell
polymorph energy (0 for the lowest one) = 139 meV per atom

Unit cell a=2.9124 b=2.9124 c=30.7798 alpha=90.00 beta=90.00 gamma=120.00
Space group R3m (No. 160, hexagonal axes)
One atom of each set of equivalent atoms:
Hg 0.0000 0.0000 0.0000 x3
Hg 0.0000 0.0000 0.2395 x3
Mo 0.0000 0.0000 0.7492 x3
W 0.0000 0.0000 0.4895 x3



No. 3
SrPr4Hg5: relaxed, GGA-PBE.

Results
calculated volume = 294.84 Å³/cell
ΔE_f = -0.4863 eV per atom
E_tot = -27.2 eV per cell
size of the total moment = 1.5 Bohr magnetons per cell
DOS(E_F) = 9.730 states/eV/cell

Unit cell a=3.885 b=3.885 c=19.533 alpha=90.00 beta=90.00 gamma=90.00
Space group P4/mmm (No. 123)
One atom of each set of equivalent atoms:
Sr 0.000 0.000 0.000 x1
Pr 0.000 0.000 0.205 x2
Pr 0.000 0.000 0.402 x2
Hg 0.500 0.500 0.110 x2
Hg 0.500 0.500 0.303 x2
Hg 0.500 0.500 0.500 x1



No. 4
TlRh2: relaxed, GGA-PBE.

Results
calculated volume = 201.78 Å³/cell
ΔE_f = 0.2395 eV per atom
E_tot = -65.4 eV per cell
size of the total moment = 0.0 Bohr magnetons per cell
DOS(E_F) = 21.175 states/eV/cell
polymorph energy (0 for the lowest one) = 64 meV per atom

Unit cell a=3.025 b=14.249 c=4.682 alpha=90.00 beta=90.00 gamma=90.00
Space group Cmcm (No. 63)
One atom of each set of equivalent atoms:
Tl 0.000 0.101 0.250 x4
Rh 0.000 0.234 0.750 x4
Rh 0.000 0.431 0.250 x4



No. 5
LaPt2Rh: relaxed, GGA-PBE.

Results
calculated volume = 75.36 Å³/cell
ΔE_f = -0.3980 eV per atom
E_tot = -26.0 eV per cell
size of the total moment = 0.0 Bohr magnetons per cell
DOS(E_F) = 3.525 states/eV/cell

Unit cell a=3.093 b=4.026 c=6.051 alpha=90.00 beta=90.00 gamma=90.00
Space group Pmm2 (No. 25)
One atom of each set of equivalent atoms:
La 0.000 0.000 0.000 x1
Pt 0.000 0.000 0.511 x1
Pt 0.500 0.500 0.282 x1
Rh 0.500 0.500 0.722 x1



No. 6
K2HClO: relaxed, GGA-PBE.

Results
calculated volume = 114.65 Å³/cell
E_tot = -20.1 eV per cell
size of the total moment = 0.0 Bohr magnetons per cell
DOS(E_F) = 0.000 states/eV/cell

Unit cell a=5.285 b=5.285 c=4.104 alpha=90.00 beta=90.00 gamma=90.00
Space group P4mm (No. 99)
One atom of each set of equivalent atoms:
K 0.000 0.500 0.000 x2
H 0.000 0.000 0.647 x1
Cl 0.500 0.500 0.479 x1
O 0.000 0.000 0.885 x1